# 1
DFT (PBE) results for NaGe5Pt3 after structural relaxation.

- DFT total energy: -4.93 eV/atom

abc: 11.814 8.159 9.045
angles: 90.00 115.95 90.00
Space group C2/m (No. 12)
Unique sites:
Na1 0.138 0.000 0.333 [4 per cell]
Ge1 0.000 0.301 0.000 [4 per cell]
Ge2 0.091 0.500 0.364 [4 per cell]
Ge3 0.145 0.202 0.682 [8 per cell]
Ge4 0.225 0.000 0.040 [4 per cell]
Pt1 0.000 0.000 0.000 [2 per cell]
Pt2 0.000 0.000 0.500 [2 per cell]
Pt3 0.124 0.500 0.660 [4 per cell]
Pt4 0.178 0.500 0.158 [4 per cell]



# 2
DFT (PBE) results for CaLuGa4 after structural relaxation.

- DFT total energy: -3.54 eV/atom

abc: 7.807 7.807 7.807
angles: 90.00 90.00 90.00
Space group F-43m (No. 216)
Unique sites:
Ca1 0.000 0.000 0.000 [4 per cell]
Lu1 0.250 0.250 0.250 [4 per cell]
Ga1 0.125 0.125 0.625 [16 per cell]



# 3
DFT (PBE) results for TiIrRh2Au after structural relaxation.

- Distance to the lowest polymorph of the same formula: 0 meV per atom

abc: 4.779 4.779 4.534
angles: 90.00 90.00 90.00
Space group P4/mmm (No. 123)
Unique sites:
Ti1 0.000 0.000 0.000 [1 per cell]
Ir1 0.000 0.000 0.500 [1 per cell]
Rh1 0.000 0.500 0.500 [2 per cell]
Au1 0.500 0.500 0.000 [1 per cell]